[1]
This record from the Alexandria database describes a relaxed Ga2SeBr8 crystal. The functional is GGA-PBE.

Its formation energy (no corrections) is -593 meV/atom.

The space group is C2/m (No. 12) and the conventional cell measures 13.057, 8.943 and 7.957 Å, with angles of 90.00, 98.18 and 90.00 degrees. The distinct sites, in fractional coordinates, are Ga at (0.218, 0.000, 0.318), Se at (0.000, 0.000, 0.000), Br at (0.112, 0.500, 0.728), Br at (0.123, 0.205, 0.156) and Br at (0.181, 0.000, 0.592).

=====

[2]
This record from the Alexandria database describes a relaxed Ga12Se5Br3 crystal. The functional is GGA-PBE.

Its formation energy (no corrections) is -133 meV/atom.

The space group is Ia-3d (No. 230) and the conventional cell measures 17.147, 17.147 and 17.147 Å, with angles of 90.00, 90.00 and 90.00 degrees. The distinct sites, in fractional coordinates, are Ga at (0.013, 0.066, 0.658), Se at (0.000, 0.000, 0.000), Se at (0.000, 0.250, 0.375) and Br at (0.000, 0.250, 0.125).

=====

[3]
This record from the Alexandria database describes a relaxed GaSnSe2Br crystal. The functional is GGA-PBE.

As for the energy above the most stable polymorph in this dataset: 0 meV/atom. Its formation energy (no corrections) is -134 meV/atom.

The space group is P4/mmm (No. 123) and the conventional cell measures 5.078, 5.078 and 5.097 Å, with angles of 90.00, 90.00 and 90.00 degrees. The distinct sites, in fractional coordinates, are Ga at (0.000, 0.000, 0.000), Sn at (0.500, 0.500, 0.500), Se at (0.000, 0.500, 0.000) and Br at (0.000, 0.000, 0.500).

=====

[4]
This record from the Alexandria database describes a relaxed GaSnSe2Br crystal. The functional is GGA-PBE.

As for the energy above the most stable polymorph in this dataset: 70 meV/atom. Its formation energy (no corrections) is -64 meV/atom.

The space group is P4/mmm (No. 123) and the conventional cell measures 5.285, 5.285 and 5.704 Å, with angles of 90.00, 90.00 and 90.00 degrees. The distinct sites, in fractional coordinates, are Ga at (0.000, 0.000, 0.000), Sn at (0.500, 0.500, 0.500), Se at (0.000, 0.500, 0.500) and Br at (0.500, 0.500, 0.000).

=====

[5]
This record from the Alexandria database describes a relaxed SrGaSe2Br crystal. The functional is GGA-PBE.

As for the energy above the most stable polymorph in this dataset: 0 meV/atom. Its formation energy (no corrections) is -952 meV/atom.

The space group is P4/mmm (No. 123) and the conventional cell measures 5.059, 5.059 and 5.367 Å, with angles of 90.00, 90.00 and 90.00 degrees. The distinct sites, in fractional coordinates, are Sr at (0.000, 0.000, 0.000), Ga at (0.500, 0.500, 0.500), Se at (0.000, 0.500, 0.500) and Br at (0.500, 0.500, 0.000).

=====

[6]
This record from the Alexandria database describes a relaxed SrGaSe2Br crystal. The functional is GGA-PBE.

As for the energy above the most stable polymorph in this dataset: 577 meV/atom. Its formation energy (no corrections) is -376 meV/atom.

The space group is P4/mmm (No. 123) and the conventional cell measures 5.941, 5.941 and 5.918 Å, with angles of 90.00, 90.00 and 90.00 degrees. The distinct sites, in fractional coordinates, are Sr at (0.000, 0.000, 0.000), Ga at (0.500, 0.500, 0.500), Se at (0.000, 0.500, 0.000) and Br at (0.000, 0.000, 0.500).

=====

[7]
This record from the Alexandria database describes a relaxed Tb4GaSe2Br crystal. The functional is GGA-PBE.

Its formation energy (no corrections) is -1318 meV/atom.

The space group is P2/m (No. 10) and the conventional cell measures 7.188, 4.074 and 7.297 Å, with angles of 90.00, 108.59 and 90.00 degrees. The distinct sites, in fractional coordinates, are Tb at (0.238, 0.000, 0.223), Tb at (0.251, 0.500, 0.764), Ga at (0.500, 0.000, 0.000), Se at (0.000, 0.000, 0.500), Se at (0.000, 0.500, 0.000) and Br at (0.500, 0.500, 0.500).

=====

[8]
This record from the Alexandria database describes a relaxed GaTcSeBr2 crystal. The functional is GGA-PBE.

As for the energy above the most stable polymorph in this dataset: 0 meV/atom. Its formation energy (no corrections) is 20 meV/atom.

The space group is P4/mmm (No. 123) and the conventional cell measures 5.347, 5.347 and 4.714 Å, with angles of 90.00, 90.00 and 90.00 degrees. The distinct sites, in fractional coordinates, are Ga at (0.000, 0.000, 0.000), Tc at (0.500, 0.500, 0.500), Se at (0.500, 0.500, 0.000) and Br at (0.000, 0.500, 0.500).

=====

[9]
This record from the Alexandria database describes a relaxed Ga2TcSeBr crystal. The functional is GGA-PBE.

Its formation energy (no corrections) is 961 meV/atom.

The space group is P4/mmm (No. 123) and the conventional cell measures 5.537, 5.537 and 4.887 Å, with angles of 90.00, 90.00 and 90.00 degrees. The distinct sites, in fractional coordinates, are Ga at (0.000, 0.500, 0.000), Tc at (0.000, 0.000, 0.500), Se at (0.500, 0.500, 0.500) and Br at (0.000, 0.000, 0.000).

=====

[10]
This record from the Alexandria database describes a relaxed GaTcSeBr2 crystal. The functional is GGA-PBE.

As for the energy above the most stable polymorph in this dataset: 567 meV/atom. Its formation energy (no corrections) is 587 meV/atom.

The space group is P4/mmm (No. 123) and the conventional cell measures 5.122, 5.122 and 5.137 Å, with angles of 90.00, 90.00 and 90.00 degrees. The distinct sites, in fractional coordinates, are Ga at (0.000, 0.000, 0.000), Tc at (0.500, 0.500, 0.500), Se at (0.000, 0.000, 0.500) and Br at (0.000, 0.500, 0.000).

=====

[11]
This record from the Alexandria database describes a relaxed GaTeSe2Br crystal. The functional is GGA-PBE.

As for the energy above the most stable polymorph in this dataset: 0 meV/atom. Its formation energy (no corrections) is 126 meV/atom.

The space group is P4/mmm (No. 123) and the conventional cell measures 5.413, 5.413 and 5.645 Å, with angles of 90.00, 90.00 and 90.00 degrees. The distinct sites, in fractional coordinates, are Ga at (0.000, 0.000, 0.000), Te at (0.500, 0.500, 0.500), Se at (0.000, 0.500, 0.500) and Br at (0.500, 0.500, 0.000).

=====

[12]
This record from the Alexandria database describes a relaxed GaTeSeBr2 crystal. The functional is GGA-PBE.

As for the energy above the most stable polymorph in this dataset: 114 meV/atom. Its formation energy (no corrections) is 81 meV/atom.

The space group is P4/mmm (No. 123) and the conventional cell measures 5.018, 5.018 and 5.441 Å, with angles of 90.00, 90.00 and 90.00 degrees. The distinct sites, in fractional coordinates, are Ga at (0.000, 0.000, 0.000), Te at (0.500, 0.500, 0.500), Se at (0.000, 0.000, 0.500) and Br at (0.000, 0.500, 0.000).

=====

[13]
This record from the Alexandria database describes a relaxed GaTeSe2Br crystal. The functional is GGA-PBE.

As for the energy above the most stable polymorph in this dataset: 57 meV/atom. Its formation energy (no corrections) is 183 meV/atom.

The space group is P4/mmm (No. 123) and the conventional cell measures 5.108, 5.108 and 4.936 Å, with angles of 90.00, 90.00 and 90.00 degrees. The distinct sites, in fractional coordinates, are Ga at (0.000, 0.000, 0.000), Te at (0.500, 0.500, 0.500), Se at (0.000, 0.500, 0.000) and Br at (0.000, 0.000, 0.500).

=====

[14]
This record from the Alexandria database describes a relaxed GaTe2SeBr crystal. The functional is GGA-PBE.

Its formation energy (no corrections) is 355 meV/atom.

The space group is P4/mmm (No. 123) and the conventional cell measures 5.467, 5.467 and 4.924 Å, with angles of 90.00, 90.00 and 90.00 degrees. The distinct sites, in fractional coordinates, are Ga at (0.000, 0.000, 0.000), Te at (0.000, 0.500, 0.000), Se at (0.000, 0.000, 0.500) and Br at (0.500, 0.500, 0.500).

=====

[15]
This record from the Alexandria database describes a relaxed GaTeSeBr2 crystal. The functional is GGA-PBE.

As for the energy above the most stable polymorph in this dataset: 0 meV/atom. Its formation energy (no corrections) is -33 meV/atom.

The space group is P4/mmm (No. 123) and the conventional cell measures 5.632, 5.632 and 5.504 Å, with angles of 90.00, 90.00 and 90.00 degrees. The distinct sites, in fractional coordinates, are Ga at (0.000, 0.000, 0.000), Te at (0.500, 0.500, 0.500), Se at (0.500, 0.500, 0.000) and Br at (0.000, 0.500, 0.500).

=====

[16]
This record from the Alexandria database describes a relaxed TiGaSeBr2 crystal. The functional is GGA-PBE.

As for the energy above the most stable polymorph in this dataset: 0 meV/atom. Its formation energy (no corrections) is -659 meV/atom.

The space group is P4/mmm (No. 123) and the conventional cell measures 5.268, 5.268 and 4.970 Å, with angles of 90.00, 90.00 and 90.00 degrees. The distinct sites, in fractional coordinates, are Ti at (0.000, 0.000, 0.000), Ga at (0.500, 0.500, 0.500), Se at (0.000, 0.000, 0.500) and Br at (0.000, 0.500, 0.000).

=====

[17]
This record from the Alexandria database describes a relaxed TiGaSeBr2 crystal. The functional is GGA-PBE.

As for the energy above the most stable polymorph in this dataset: 874 meV/atom. Its formation energy (no corrections) is 215 meV/atom.

The space group is P4/mmm (No. 123) and the conventional cell measures 5.097, 5.097 and 5.119 Å, with angles of 90.00, 90.00 and 90.00 degrees. The distinct sites, in fractional coordinates, are Ti at (0.000, 0.000, 0.000), Ga at (0.500, 0.500, 0.500), Se at (0.500, 0.500, 0.000) and Br at (0.000, 0.500, 0.500).

=====

[18]
This record from the Alexandria database describes a relaxed TlGaSeBr2 crystal. The functional is GGA-PBE.

As for the energy above the most stable polymorph in this dataset: 0 meV/atom. Its formation energy (no corrections) is -467 meV/atom.

The space group is P4/mmm (No. 123) and the conventional cell measures 5.374, 5.374 and 5.020 Å, with angles of 90.00, 90.00 and 90.00 degrees. The distinct sites, in fractional coordinates, are Tl at (0.000, 0.000, 0.000), Ga at (0.500, 0.500, 0.500), Se at (0.500, 0.500, 0.000) and Br at (0.000, 0.500, 0.500).

=====

[19]
This record from the Alexandria database describes a relaxed TlGaSe2Br crystal. The functional is GGA-PBE.

As for the energy above the most stable polymorph in this dataset: 417 meV/atom. Its formation energy (no corrections) is 172 meV/atom.

The space group is P4/mmm (No. 123) and the conventional cell measures 5.387, 5.387 and 5.818 Å, with angles of 90.00, 90.00 and 90.00 degrees. The distinct sites, in fractional coordinates, are Tl at (0.000, 0.000, 0.000), Ga at (0.500, 0.500, 0.500), Se at (0.000, 0.500, 0.000) and Br at (0.000, 0.000, 0.500).

=====

[20]
This record from the Alexandria database describes a relaxed TlGaSe2Br crystal. The functional is GGA-PBE.

As for the energy above the most stable polymorph in this dataset: 0 meV/atom. Its formation energy (no corrections) is -245 meV/atom.

The space group is P4/mmm (No. 123) and the conventional cell measures 5.025, 5.025 and 5.504 Å, with angles of 90.00, 90.00 and 90.00 degrees. The distinct sites, in fractional coordinates, are Tl at (0.000, 0.000, 0.000), Ga at (0.500, 0.500, 0.500), Se at (0.000, 0.500, 0.500) and Br at (0.500, 0.500, 0.000).